A geometry-optimized Sm5Ni2 structure, computed with PBE-GGA.

Results
The formation energy from the elements comes out at -0.223 eV/atom.

abc: 8.9463 8.9463 6.9605
angles: 96.16 96.16 42.34
Fractional positions:
Sm: 0.0683 0.9317 0.7500
Sm: 0.1485 0.2838 0.3145
Sm: 0.2838 0.1485 0.8145
Sm: 0.2981 0.5113 0.0770
Sm: 0.4887 0.7019 0.4230
Sm: 0.5113 0.2981 0.5770
Sm: 0.7019 0.4887 0.9230
Sm: 0.7162 0.8515 0.1855
Sm: 0.8515 0.7162 0.6855
Sm: 0.9317 0.0683 0.2500
Ni: 0.0889 0.6918 0.4307
Ni: 0.3082 0.9111 0.0693
Ni: 0.6918 0.0889 0.9307
Ni: 0.9111 0.3082 0.5693

***

A geometry-optimized TmTlPO structure, computed with PBE-GGA.

Results
Its relative energy among the computed polymorphs is 0.68 eV/f.u.

abc: 3.9735 3.9735 4.9506
angles: 90.00 90.00 90.00
Fractional positions:
Tm: 0.0000 0.0000 0.0000
Tl: 0.5000 0.5000 0.5000
P: 0.5000 0.5000 0.0000
O: 0.0000 0.0000 0.5000

***

A geometry-optimized NaBPt structure, computed with PBE-GGA.

abc: 5.8690 5.8690 5.8690
angles: 90.00 90.00 90.00
Fractional positions:
Na: 0.0000 0.0000 0.0000
Na: 0.0000 0.5000 0.5000
Na: 0.5000 0.0000 0.5000
Na: 0.5000 0.5000 0.0000
B: 0.2500 0.2500 0.7500
B: 0.2500 0.7500 0.2500
B: 0.7500 0.2500 0.2500
B: 0.7500 0.7500 0.7500
Pt: 0.2500 0.2500 0.2500
Pt: 0.2500 0.7500 0.7500
Pt: 0.7500 0.2500 0.7500
Pt: 0.7500 0.7500 0.2500

***

A geometry-optimized CsPr4As3 structure, computed with PBE-GGA.

abc: 5.0825 5.0825 11.4281
angles: 90.00 90.00 90.00
Fractional positions:
Cs: 0.0000 0.0000 0.0000
Pr: 0.0000 0.5000 0.3390
Pr: 0.0000 0.5000 0.6610
Pr: 0.5000 0.0000 0.3390
Pr: 0.5000 0.0000 0.6610
As: 0.0000 0.0000 0.5000
As: 0.5000 0.5000 0.2046
As: 0.5000 0.5000 0.7954

***

Number 1: total DFT energy (no corrections) -72.5 eV per cell. Number 2: total DFT energy (no corrections) -21.7 eV per cell. Number 3: total DFT energy (no corrections) -37.3 eV per cell. Number 4: total DFT energy (no corrections) -40.4 eV per cell.